(1)
VASP calculation (PBE+U) on a relaxed structure of NiP2O7. Values from VASP.

Quantum ESPRESSO input file:
```
&SYSTEM
  ibrav = 0, nat = 10, ntyp = 3
/
ATOMIC_SPECIES
Ni 58.69 Ni.upf
P 30.97 P.upf
O 16.00 O.upf
ATOMIC_POSITIONS crystal
Ni 0.0000 0.0000 0.0000
P 0.1572 0.4516 0.5879
P 0.5484 0.8428 0.4121
O 0.0465 0.6711 0.7373
O 0.2193 0.2592 0.7941
O 0.3289 0.9535 0.2627
O 0.4334 0.5666 0.5000
O 0.6955 0.0186 0.6907
O 0.7408 0.7807 0.2059
O 0.9814 0.3045 0.3093
CELL_PARAMETERS angstrom
3.4107 -4.0329 0.0000
3.4107 4.0329 0.0000
-0.9746 0.0000 4.5734
```

***

(2)
VASP calculation (PBE+U) on a relaxed structure of NiP2O7. Values from VASP.

Quantum ESPRESSO input file:
```
&SYSTEM
  ibrav = 0, nat = 20, ntyp = 3
/
ATOMIC_SPECIES
Ni 58.69 Ni.upf
P 30.97 P.upf
O 16.00 O.upf
ATOMIC_POSITIONS crystal
Ni 0.2113 0.0000 0.2248
Ni 0.7887 0.5000 0.7752
P 0.2502 0.7320 0.5944
P 0.3747 0.3181 0.0175
P 0.6253 0.8181 0.9825
P 0.7498 0.2320 0.4056
O 0.0189 0.6570 0.6665
O 0.1380 0.4365 0.9906
O 0.1495 0.8267 0.4068
O 0.2640 0.1517 0.0114
O 0.4221 0.8517 0.7627
O 0.4381 0.5930 0.5750
O 0.4690 0.8485 0.1371
O 0.5310 0.3485 0.8629
O 0.5619 0.0930 0.4250
O 0.5779 0.3517 0.2373
O 0.7360 0.6517 0.9886
O 0.8505 0.3267 0.5932
O 0.8620 0.9365 0.0094
O 0.9811 0.1570 0.3335
CELL_PARAMETERS angstrom
5.0079 0.0000 0.0000
0.0000 8.5358 0.0000
-1.9126 0.0000 6.7001
```

***

Most stable to least stable: (2), (1)

***

(1)
VASP calculation (PBE+U) on a relaxed structure of NiP3O9. Values from VASP.

Quantum ESPRESSO input file:
```
&SYSTEM
  ibrav = 0, nat = 78, ntyp = 3
/
ATOMIC_SPECIES
Ni 58.69 Ni.upf
P 30.97 P.upf
O 16.00 O.upf
ATOMIC_POSITIONS crystal
Ni 0.0790 0.9210 0.5000
Ni 0.2251 0.7372 0.9681
Ni 0.4134 0.5917 0.5054
Ni 0.5917 0.4134 0.0054
Ni 0.7372 0.2251 0.4681
Ni 0.9210 0.0790 0.0000
P 0.1505 0.5502 0.1522
P 0.2108 0.4858 0.6558
P 0.2499 0.2865 0.7765
P 0.2665 0.9989 0.3147
P 0.2865 0.2499 0.2765
P 0.3230 0.9333 0.8055
P 0.4858 0.2108 0.1558
P 0.5502 0.1505 0.6522
P 0.5637 0.9328 0.7535
P 0.5799 0.8712 0.2122
P 0.6155 0.6713 0.3386
P 0.6713 0.6155 0.8386
P 0.8320 0.8940 0.1772
P 0.8712 0.5799 0.7122
P 0.8940 0.8320 0.6772
P 0.9333 0.3230 0.3055
P 0.9328 0.5637 0.2535
P 0.9989 0.2665 0.8147
O 0.0136 0.6648 0.8790
O 0.0269 0.4051 0.9669
O 0.0265 0.9204 0.6810
O 0.0546 0.5997 0.2059
O 0.0736 0.3603 0.4642
O 0.1362 0.9204 0.3209
O 0.1395 0.1733 0.1244
O 0.1588 0.3084 0.8670
O 0.1640 0.5442 0.7762
O 0.1733 0.1395 0.6244
O 0.2263 0.8037 0.7994
O 0.2295 0.5180 0.2787
O 0.2428 0.6624 0.1300
O 0.2545 0.9238 0.1419
O 0.2601 0.9330 0.6376
O 0.2732 0.3969 0.7090
O 0.3084 0.1588 0.3670
O 0.3172 0.5932 0.6413
O 0.3482 0.3930 0.4342
O 0.3603 0.0736 0.9642
O 0.3930 0.3482 0.9342
O 0.3969 0.2732 0.2090
O 0.4051 0.0269 0.4669
O 0.4398 0.8258 0.0669
O 0.4659 0.7902 0.5803
O 0.4774 0.9569 0.8514
O 0.5101 0.5837 0.3727
O 0.5180 0.2295 0.7787
O 0.5442 0.1640 0.2762
O 0.5516 0.7506 0.2632
O 0.5837 0.5101 0.8727
O 0.5932 0.3172 0.1413
O 0.5942 0.6564 0.7241
O 0.5997 0.0546 0.7059
O 0.6564 0.5942 0.2241
O 0.6624 0.2428 0.6300
O 0.6648 0.0136 0.3790
O 0.6716 0.8542 0.1204
O 0.7020 0.9662 0.8856
O 0.7506 0.5516 0.7632
O 0.7570 0.8054 0.5234
O 0.7902 0.4659 0.0803
O 0.8037 0.2263 0.2994
O 0.8054 0.7570 0.0234
O 0.8258 0.4398 0.5669
O 0.8542 0.6716 0.6204
O 0.8972 0.9024 0.3501
O 0.9024 0.8972 0.8501
O 0.9204 0.0265 0.1810
O 0.9204 0.1362 0.8209
O 0.9238 0.2545 0.6419
O 0.9330 0.2601 0.1376
O 0.9569 0.4774 0.3514
O 0.9662 0.7020 0.3856
CELL_PARAMETERS angstrom
6.6357 -9.6726 0.0000
6.6357 9.6726 0.0000
-5.6456 0.0000 7.6093
```

***

(2)
VASP calculation (PBE+U) on a relaxed structure of NiP3O9. Values from VASP.

Quantum ESPRESSO input file:
```
&SYSTEM
  ibrav = 0, nat = 26, ntyp = 3
/
ATOMIC_SPECIES
Ni 58.69 Ni.upf
P 30.97 P.upf
O 16.00 O.upf
ATOMIC_POSITIONS crystal
Ni 0.1886 0.1886 0.0000
Ni 0.8114 0.8114 0.5000
P 0.2749 0.2749 0.5000
P 0.2827 0.6926 0.9625
P 0.3074 0.7173 0.5375
P 0.6926 0.2827 0.0375
P 0.7173 0.3074 0.4625
P 0.7251 0.7251 0.0000
O 0.1182 0.8239 0.5246
O 0.1635 0.2315 0.6831
O 0.1761 0.8818 0.9754
O 0.1874 0.5004 0.0375
O 0.2315 0.1635 0.3169
O 0.2635 0.5048 0.4373
O 0.3516 0.6484 0.7500
O 0.4952 0.7365 0.0627
O 0.5004 0.1874 0.9625
O 0.4996 0.8126 0.4625
O 0.5048 0.2635 0.5627
O 0.6484 0.3516 0.2500
O 0.7365 0.4952 0.9373
O 0.7685 0.8365 0.8169
O 0.8126 0.4996 0.5375
O 0.8239 0.1182 0.4754
O 0.8365 0.7685 0.1831
O 0.8818 0.1761 0.0246
CELL_PARAMETERS angstrom
4.6028 -4.8842 0.0000
4.6028 4.8842 0.0000
0.0000 0.0000 7.0111
```

***

Most stable to least stable: (1), (2)

***

(1)
VASP calculation (PBE+U) on a relaxed structure of NiP3O9. Values from VASP.

Quantum ESPRESSO input file:
```
&SYSTEM
  ibrav = 0, nat = 52, ntyp = 3
/
ATOMIC_SPECIES
Ni 58.69 Ni.upf
P 30.97 P.upf
O 16.00 O.upf
ATOMIC_POSITIONS crystal
Ni 0.0000 0.0000 0.0000
Ni 0.0000 0.0000 0.5000
Ni 0.0000 0.5000 0.0000
Ni 0.0000 0.5000 0.5000
P 0.2390 0.2500 0.0000
P 0.2390 0.2500 0.5000
P 0.4932 0.5821 0.1313
P 0.4932 0.5821 0.3687
P 0.4932 0.9179 0.6313
P 0.4932 0.9179 0.8687
P 0.5068 0.0821 0.1313
P 0.5068 0.0821 0.3687
P 0.5068 0.4179 0.6313
P 0.5068 0.4179 0.8687
P 0.7610 0.7500 0.0000
P 0.7610 0.7500 0.5000
O 0.0842 0.1538 0.5462
O 0.0842 0.1538 0.9538
O 0.0842 0.3462 0.0462
O 0.0842 0.3462 0.4538
O 0.1999 0.5624 0.1194
O 0.1999 0.5624 0.3806
O 0.1999 0.9376 0.6194
O 0.1999 0.9376 0.8806
O 0.3198 0.5054 0.5902
O 0.3198 0.5054 0.9098
O 0.3198 0.9946 0.0902
O 0.3198 0.9946 0.4098
O 0.4390 0.2059 0.0870
O 0.4390 0.2059 0.4130
O 0.4390 0.2941 0.5870
O 0.4390 0.2941 0.9130
O 0.4450 0.1058 0.2500
O 0.4450 0.3942 0.7500
O 0.5550 0.6058 0.2500
O 0.5550 0.8942 0.7500
O 0.5610 0.7059 0.0870
O 0.5610 0.7059 0.4130
O 0.5610 0.7941 0.5870
O 0.5610 0.7941 0.9130
O 0.6802 0.0054 0.5902
O 0.6802 0.0054 0.9098
O 0.6802 0.4946 0.0902
O 0.6802 0.4946 0.4098
O 0.8001 0.0624 0.1194
O 0.8001 0.0624 0.3806
O 0.8001 0.4376 0.6194
O 0.8001 0.4376 0.8806
O 0.9158 0.6538 0.5462
O 0.9158 0.6538 0.9538
O 0.9158 0.8462 0.0462
O 0.9158 0.8462 0.4538
CELL_PARAMETERS angstrom
5.0599 0.0000 0.0000
0.0000 11.8578 0.0000
0.0000 0.0000 12.9138
```

***

(2)
VASP calculation (PBE+U) on a relaxed structure of NiP3O9. Values from VASP.

Quantum ESPRESSO input file:
```
&SYSTEM
  ibrav = 0, nat = 52, ntyp = 3
/
ATOMIC_SPECIES
Ni 58.69 Ni.upf
P 30.97 P.upf
O 16.00 O.upf
ATOMIC_POSITIONS crystal
Ni 0.0000 0.0000 0.0000
Ni 0.0000 0.5000 0.5000
Ni 0.5000 0.0000 0.5000
Ni 0.5000 0.5000 0.0000
P 0.1380 0.1333 0.2901
P 0.1380 0.3667 0.7901
P 0.2500 0.7500 0.0760
P 0.2500 0.7500 0.5760
P 0.3620 0.1333 0.7901
P 0.3620 0.3667 0.2901
P 0.6380 0.6333 0.7099
P 0.6380 0.8667 0.2099
P 0.7500 0.2500 0.4240
P 0.7500 0.2500 0.9240
P 0.8620 0.6333 0.2099
P 0.8620 0.8667 0.7099
O 0.0909 0.6907 0.1821
O 0.0909 0.8093 0.6821
O 0.1122 0.0320 0.1859
O 0.1122 0.4680 0.6859
O 0.1545 0.6515 0.4879
O 0.1545 0.8485 0.9879
O 0.2453 0.0983 0.4207
O 0.2453 0.4017 0.9207
O 0.2500 0.2500 0.2169
O 0.2500 0.2500 0.7169
O 0.2547 0.0983 0.9207
O 0.2547 0.4017 0.4207
O 0.3455 0.6515 0.9879
O 0.3455 0.8485 0.4879
O 0.3878 0.0320 0.6859
O 0.3878 0.4680 0.1859
O 0.4091 0.6907 0.6821
O 0.4091 0.8093 0.1821
O 0.5909 0.1907 0.8179
O 0.5909 0.3093 0.3179
O 0.6122 0.5320 0.8141
O 0.6122 0.9680 0.3141
O 0.6545 0.1515 0.5121
O 0.6545 0.3485 0.0121
O 0.7453 0.5983 0.5793
O 0.7453 0.9017 0.0793
O 0.7500 0.7500 0.2831
O 0.7500 0.7500 0.7831
O 0.7547 0.5983 0.0793
O 0.7547 0.9017 0.5793
O 0.8455 0.1515 0.0121
O 0.8455 0.3485 0.5121
O 0.8878 0.5320 0.3141
O 0.8878 0.9680 0.8141
O 0.9091 0.1907 0.3179
O 0.9091 0.3093 0.8179
CELL_PARAMETERS angstrom
6.3548 0.0000 0.0000
0.0000 10.8340 0.0000
0.0000 0.0000 9.7700
```

***

Most stable to least stable: (1), (2)

***

(1)
VASP calculation (PBE+U) on a relaxed structure of NiP3O9. Values from VASP.

Quantum ESPRESSO input file:
```
&SYSTEM
  ibrav = 0, nat = 52, ntyp = 3
/
ATOMIC_SPECIES
Ni 58.69 Ni.upf
P 30.97 P.upf
O 16.00 O.upf
ATOMIC_POSITIONS crystal
Ni 0.2008 0.4124 0.2922
Ni 0.2718 0.7508 0.2322
Ni 0.7282 0.2492 0.7678
Ni 0.7992 0.5876 0.7078
P 0.0699 0.2117 0.9158
P 0.1206 0.5098 0.8659
P 0.1599 0.9376 0.7959
P 0.2958 0.5664 0.6661
P 0.3319 0.9980 0.5896
P 0.4081 0.3217 0.5727
P 0.5919 0.6783 0.4273
P 0.6681 0.0020 0.4104
P 0.7042 0.4336 0.3339
P 0.8401 0.0624 0.2041
P 0.8794 0.4902 0.1341
P 0.9301 0.7883 0.0842
O 0.0130 0.7754 0.7398
O 0.0641 0.5268 0.1833
O 0.1020 0.0777 0.8135
O 0.1179 0.8497 0.1419
O 0.1382 0.3457 0.8525
O 0.1556 0.5324 0.7242
O 0.1804 0.2708 0.0880
O 0.1958 0.9356 0.6499
O 0.2059 0.5380 0.4961
O 0.2560 0.6462 0.0187
O 0.2733 0.8614 0.4381
O 0.2963 0.1440 0.5556
O 0.3120 0.9775 0.9433
O 0.3516 0.3292 0.4166
O 0.3524 0.4273 0.6825
O 0.4047 0.6270 0.3306
O 0.4403 0.7360 0.7641
O 0.4905 0.9354 0.2843
O 0.5095 0.0646 0.7157
O 0.5597 0.2640 0.2359
O 0.5953 0.3730 0.6694
O 0.6476 0.5727 0.3175
O 0.6484 0.6708 0.5834
O 0.6880 0.0225 0.0567
O 0.7037 0.8560 0.4444
O 0.7267 0.1386 0.5619
O 0.7440 0.3538 0.9813
O 0.7941 0.4620 0.5039
O 0.8042 0.0644 0.3501
O 0.8196 0.7292 0.9120
O 0.8444 0.4676 0.2758
O 0.8618 0.6543 0.1475
O 0.8821 0.1503 0.8581
O 0.8980 0.9223 0.1865
O 0.9359 0.4732 0.8167
O 0.9870 0.2246 0.2602
CELL_PARAMETERS angstrom
9.4105 0.0000 0.0000
-3.1071 9.0204 0.0000
-3.3938 -3.8789 8.5072
```

***

(2)
VASP calculation (PBE+U) on a relaxed structure of NiP3O9. Values from VASP.

Quantum ESPRESSO input file:
```
&SYSTEM
  ibrav = 0, nat = 13, ntyp = 3
/
ATOMIC_SPECIES
Ni 58.69 Ni.upf
P 30.97 P.upf
O 16.00 O.upf
ATOMIC_POSITIONS crystal
Ni 0.0000 0.0000 0.0000
P 0.0546 0.9097 0.4900
P 0.4900 0.0546 0.9097
P 0.9097 0.4900 0.0546
O 0.0613 0.3411 0.0621
O 0.0621 0.0613 0.3411
O 0.3247 0.9390 0.6307
O 0.3411 0.0621 0.0613
O 0.6307 0.3247 0.9390
O 0.6592 0.9270 0.9513
O 0.9270 0.9513 0.6592
O 0.9390 0.6307 0.3247
O 0.9513 0.6592 0.9270
CELL_PARAMETERS angstrom
4.9960 2.8845 2.4467
-4.9960 2.8845 2.4467
0.0000 -5.7689 2.4467
```

***

Most stable to least stable: (2), (1)

***

(1)
VASP calculation (PBE+U) on a relaxed structure of NiP2O2. Values from VASP.

Quantum ESPRESSO input file:
```
&SYSTEM
  ibrav = 0, nat = 5, ntyp = 3
/
ATOMIC_SPECIES
Ni 58.69 Ni.upf
P 30.97 P.upf
O 16.00 O.upf
ATOMIC_POSITIONS crystal
Ni 0.0000 0.0000 0.0000
P 0.0000 0.5000 0.0000
P 0.5000 0.0000 0.0000
O 0.0000 0.0000 0.5000
O 0.5000 0.5000 0.5000
CELL_PARAMETERS angstrom
4.3746 0.0000 0.0000
0.0000 4.3746 0.0000
0.0000 0.0000 3.4563
```

***

(2)
VASP calculation (PBE+U) on a relaxed structure of NiP2O2. Values from VASP.

Quantum ESPRESSO input file:
```
&SYSTEM
  ibrav = 0, nat = 5, ntyp = 3
/
ATOMIC_SPECIES
Ni 58.69 Ni.upf
P 30.97 P.upf
O 16.00 O.upf
ATOMIC_POSITIONS crystal
Ni 0.0000 0.0000 0.0000
P 0.0000 0.5000 0.5000
P 0.5000 0.0000 0.5000
O 0.5000 0.5000 0.0000
O 0.5000 0.5000 0.5000
CELL_PARAMETERS angstrom
3.9172 0.0000 0.0000
0.0000 3.9172 0.0000
0.0000 0.0000 3.8331
```

***

Most stable to least stable: (1), (2)

***

(1)
VASP calculation (PBE+U) on a relaxed structure of NiP2O2. Values from VASP.

Quantum ESPRESSO input file:
```
&SYSTEM
  ibrav = 0, nat = 5, ntyp = 3
/
ATOMIC_SPECIES
Ni 58.69 Ni.upf
P 30.97 P.upf
O 16.00 O.upf
ATOMIC_POSITIONS crystal
Ni 0.0000 0.0000 0.0000
P 0.0000 0.0000 0.5000
P 0.5000 0.5000 0.5000
O 0.0000 0.5000 0.0000
O 0.5000 0.0000 0.0000
CELL_PARAMETERS angstrom
3.6194 0.0000 0.0000
0.0000 3.6194 0.0000
0.0000 0.0000 4.6243
```

***

(2)
VASP calculation (PBE+U) on a relaxed structure of NiP2O2. Values from VASP.

Quantum ESPRESSO input file:
```
&SYSTEM
  ibrav = 0, nat = 5, ntyp = 3
/
ATOMIC_SPECIES
Ni 58.69 Ni.upf
P 30.97 P.upf
O 16.00 O.upf
ATOMIC_POSITIONS crystal
Ni 0.0000 0.0000 0.0000
P 0.5000 0.5000 0.0000
P 0.5000 0.5000 0.5000
O 0.0000 0.5000 0.5000
O 0.5000 0.0000 0.5000
CELL_PARAMETERS angstrom
3.3826 0.0000 0.0000
0.0000 3.3826 0.0000
0.0000 0.0000 4.9165
```

***

Most stable to least stable: (2), (1)